# Y2MgTaW

Crystalline Y2MgTaW at its relaxed geometry (PBE-GGA, Alexandria).

Geometry as extended XYZ:
```
5
Lattice="-1.379 -5.284 1.053 2.114 -1.361 -4.066 4.794 -0.707 2.729" Properties=species:S:1:pos:R:3 pbc="T T T"
Y 2.397 -0.354 1.365
Y -0.689 -2.642 0.526
Mg 2.765 -3.676 -0.142
W 1.057 -0.681 -2.033
Ta 0.000 0.000 0.000
```

Computed properties:
The volume comes out at 29.574 Å³/atom. The value obtained for the uncorrected energy is -6.819 eV/atom. The energy of formation from the pure elements comes out at 1.047 eV per atom.